[1]
A relaxed structure of Tb2Y2TmMg5, computed with PBE-GGA.

- crystal system = tetragonal
- calculated formation energy (meV/atom) = 84
- N(E_F) (states/eV/f.u.) = 7.48
- magnetic moment (μB/f.u.) = 0.000

The structure in CIF format:
```
data_Tb2Y2TmMg5
_chemical_formula_sum 'Tb4 Y4 Tm2 Mg10'
_cell_length_a 10.576
_cell_length_b 10.576
_cell_length_c 5.046
_cell_angle_alpha 90.00
_cell_angle_beta 90.00
_cell_angle_gamma 90.00
_space_group_name_H-M_alt 'P 4/m b m'
_space_group_IT_number 127
_space_group_name_Hall '-P 4 2ab'
loop_
_atom_site_label
_atom_site_type_symbol
_atom_site_fract_x
_atom_site_fract_y
_atom_site_fract_z
Tb1 Tb 0.120 0.380 0.000
Y1 Y 0.178 0.678 0.000
Tm1 Tm 0.000 0.000 0.000
Mg1 Mg 0.000 0.500 0.500
Mg2 Mg 0.068 0.196 0.500
```

---

[2]
A relaxed structure of YRePt4, computed with PBE-GGA.

- crystal system = cubic
- calculated formation energy (meV/atom) = -206
- N(E_F) (states/eV/f.u.) = 4.89
- magnetic moment (μB/f.u.) = 2.587

The structure in CIF format:
```
data_YRePt4
_chemical_formula_sum 'Y4 Re4 Pt16'
_cell_length_a 7.519
_cell_length_b 7.519
_cell_length_c 7.519
_cell_angle_alpha 90.00
_cell_angle_beta 90.00
_cell_angle_gamma 90.00
_space_group_name_H-M_alt 'F -4 3 m'
_space_group_IT_number 216
_space_group_name_Hall 'F -4 2 3'
loop_
_atom_site_label
_atom_site_type_symbol
_atom_site_fract_x
_atom_site_fract_y
_atom_site_fract_z
Y1 Y 0.000 0.000 0.000
Re1 Re 0.250 0.250 0.250
Pt1 Pt 0.124 0.124 0.624
```

---

[3]
A relaxed structure of K2Nd2PaTe6, computed with PBE-GGA.

- crystal system = monoclinic
- VASP energy (eV per atom) = -4.893
- N(E_F) (states/eV/f.u.) = 2.64
- magnetic moment (μB/f.u.) = 1.061

The structure in CIF format:
```
data_K2Nd2PaTe6
_chemical_formula_sum 'K4 Nd4 Pa2 Te12'
_cell_length_a 7.869
_cell_length_b 13.561
_cell_length_c 8.836
_cell_angle_alpha 90.00
_cell_angle_beta 107.62
_cell_angle_gamma 90.00
_space_group_name_H-M_alt 'C 1 2/m 1'
_space_group_IT_number 12
loop_
_space_group_symop_operation_xyz
'x,y,z'
'-x,-y,-z'
'-x,y,-z'
'x,-y,z'
'x+1/2,y+1/2,z'
'-x+1/2,-y+1/2,-z'
'-x+1/2,y+1/2,-z'
'x+1/2,-y+1/2,z'
loop_
_atom_site_label
_atom_site_type_symbol
_atom_site_fract_x
_atom_site_fract_y
_atom_site_fract_z
K1 K 0.000 0.170 0.000
Nd1 Nd 0.000 0.333 0.500
Pa1 Pa 0.000 0.000 0.500
Te1 Te 0.235 0.161 0.711
Te2 Te 0.247 0.500 0.710
```

---

Among the records above, which one has the highest N(E_F)?
Tb2Y2TmMg5

---

Look up the magnetic moment of the first one.
0.000 μB/f.u.